## A
# In2AgI2, relaxed, DFT PBE
data_In2AgI2
_cell_length_a 7.953
_cell_length_b 7.953
_cell_length_c 5.244
_cell_angle_alpha 90.00
_cell_angle_beta 90.00
_cell_angle_gamma 90.00
_symmetry_space_group_name_H-M 'P 4/m b m'
_symmetry_Int_Tables_number 127
_symmetry_space_group_name_Hall '-P 4 2ab'
loop_
_atom_site_label
_atom_site_fract_x
_atom_site_fract_y
_atom_site_fract_z
_atom_site_occupancy
In1 0.168 0.332 0.000 1
Ag1 0.000 0.000 0.000 1
I1 0.171 0.671 0.500 1
# - V: 33.171 A^3/atom
# - Spin magnetization: 0.00 μB per formula unit



## B
# In2AgI2, relaxed, DFT PBE
data_In2AgI2
_cell_length_a 6.537
_cell_length_b 6.537
_cell_length_c 8.516
_cell_angle_alpha 90.00
_cell_angle_beta 90.00
_cell_angle_gamma 90.00
_symmetry_space_group_name_H-M 'I 4/m m m'
_symmetry_Int_Tables_number 139
_symmetry_space_group_name_Hall '-I 4 2'
loop_
_atom_site_label
_atom_site_fract_x
_atom_site_fract_y
_atom_site_fract_z
_atom_site_occupancy
In1 0.000 0.000 0.178 1
Ag1 0.000 0.000 0.500 1
I1 0.000 0.500 0.250 1
# - V: 36.393 A^3/atom
# - Spin magnetization: 0.00 μB per formula unit



## C
# In2AgI2, relaxed, DFT PBE
data_In2AgI2
_cell_length_a 8.071
_cell_length_b 8.071
_cell_length_c 5.486
_cell_angle_alpha 90.00
_cell_angle_beta 90.00
_cell_angle_gamma 90.00
_symmetry_space_group_name_H-M 'P 4/m b m'
_symmetry_Int_Tables_number 127
_symmetry_space_group_name_Hall '-P 4 2ab'
loop_
_atom_site_label
_atom_site_fract_x
_atom_site_fract_y
_atom_site_fract_z
_atom_site_occupancy
In1 0.144 0.356 0.000 1
Ag1 0.000 0.000 0.500 1
I1 0.180 0.680 0.500 1
# - V: 35.740 A^3/atom
# - Spin magnetization: 0.00 μB per formula unit



## D
# In2AgI2, relaxed, DFT PBE
data_In2AgI2
_cell_length_a 4.178
_cell_length_b 4.178
_cell_length_c 18.996
_cell_angle_alpha 90.00
_cell_angle_beta 90.00
_cell_angle_gamma 90.00
_symmetry_space_group_name_H-M 'I 4/m m m'
_symmetry_Int_Tables_number 139
_symmetry_space_group_name_Hall '-I 4 2'
loop_
_atom_site_label
_atom_site_fract_x
_atom_site_fract_y
_atom_site_fract_z
_atom_site_occupancy
In1 0.000 0.500 0.250 1
Ag1 0.000 0.000 0.000 1
I1 0.000 0.000 0.403 1
# - V: 33.156 A^3/atom
# - Spin magnetization: 0.00 μB per formula unit



The computed energies, referenced to the most stable structure and given in kJ/mol of atoms, are A 0.0; B 1.1; C 5.5; D 8.0.